P:
An optimized crystal structure of CsReAu. Source: OQMD via LeMat-Bulk, functional PBE.

**Volume**: 139.3 Å³/f.u.
**Total magnetization**: 20.00 Bohr magnetons per cell

abc: 8.2295 8.2295 8.2295
angles: 90.00 90.00 90.00
Closest atoms and distances in Å follow each position.
Space group F-43m (No. 216)
Asymmetric unit:
Cs: 0.0000 0.0000 0.0000  4 Au 3.56, 4 Re 3.56
Re: 0.2500 0.2500 0.2500  4 Cs 3.56
Au: 0.2500 0.2500 0.7500  4 Cs 3.56

Q:
An optimized crystal structure of CsReAu. Source: OQMD via LeMat-Bulk, functional PBE.

**Volume**: 107.6 Å³/f.u.
**Total magnetization**: 18.81 Bohr magnetons per cell

abc: 7.5506 7.5506 7.5506
angles: 90.00 90.00 90.00
Closest atoms and distances in Å follow each position.
Space group F-43m (No. 216)
Asymmetric unit:
Cs: 0.0000 0.0000 0.0000  4 Au 3.27
Re: 0.0000 0.0000 0.5000  4 Au 3.27
Au: 0.2500 0.2500 0.2500  4 Re 3.27, 4 Cs 3.27

Which structure above is the least stable one? P is the least stable one.